The following is a PBE calculation of CaPrBr2 after structural relaxation, from Alexandria via LeMat-Bulk.

The value obtained for the uncorrected formation energy is -1.17 eV per atom. The value obtained for the density of states at the Fermi level is 3.72 states/eV per cell.

Unit cell a=3.9791 b=3.9791 c=10.0731 alpha=78.61 beta=78.61 gamma=60.00
Each line ends with the local moment (μB).
Element x y z (fractional)
Br1 0.1072 0.1072 0.6785  0.00
Br2 0.8928 0.8928 0.3215  0.00
Ca1 0.5000 0.5000 0.5000  0.00
Pr1 0.0000 0.0000 0.0000  0.14